BaZr2TiTc | GGA-PBE | optimized geometry

Output
- energy (eV/cell) = -35.3
- calculated density (g/cm3) = 5.8
- total magnetization (μB per formula unit) = 0.00
- volume (A^3/atom) = 26.85

a b c (Å): 5.2072 5.2072 4.9505
angles (deg): 90.00 90.00 90.00
Space group P4/mmm (No. 123)
Inequivalent atoms, fractional coordinates:
Ba: 0.0000 0.0000 0.0000 [1 per cell]
Zr: 0.0000 0.5000 0.5000 [2 per cell]
Ti: 0.5000 0.5000 0.0000 [1 per cell]
Tc: 0.5000 0.5000 0.5000 [1 per cell]


BaTl2Tc2 | GGA-PBE | optimized geometry

Output
- energy (eV/cell) = -51.6
- calculated density (g/cm3) = 9.7
- total magnetization (μB per formula unit) = 0.00
- volume (A^3/atom) = 25.52

a b c (Å): 3.6457 3.6457 19.2005
angles (deg): 90.00 90.00 90.00
Space group I4/mmm (No. 139)
Inequivalent atoms, fractional coordinates:
Ba: 0.0000 0.0000 0.0000 [2 per cell]
Tl: 0.0000 0.0000 0.3706 [4 per cell]
Tc: 0.0000 0.5000 0.2500 [4 per cell]


BaZr2TlTc | GGA-PBE | optimized geometry

Output
- energy (eV/cell) = -22.2
- calculated density (g/cm3) = 7.3
- total magnetization (μB per formula unit) = 0.98
- volume (A^3/atom) = 28.22

a b c (Å): 5.3361 5.3361 4.9551
angles (deg): 90.00 90.00 90.00
Space group P4/mmm (No. 123)
Inequivalent atoms, fractional coordinates:
Ba: 0.0000 0.0000 0.0000 [1 per cell]
Zr: 0.0000 0.5000 0.0000 [2 per cell]
Tl: 0.5000 0.5000 0.5000 [1 per cell]
Tc: 0.0000 0.0000 0.5000 [1 per cell]


BaV3Tc | GGA-PBE | optimized geometry

Output
- polymorph energy (0 for the lowest one) (meV/atom) = 1853
- energy (eV/cell) = -26.1
- calculated density (g/cm3) = 5.9
- total magnetization (μB per formula unit) = 1.90
- volume (A^3/atom) = 21.91

a b c (Å): 4.7845 4.7845 4.7845
angles (deg): 90.00 90.00 90.00
Space group Pm-3m (No. 221)
Inequivalent atoms, fractional coordinates:
Ba: 0.0000 0.0000 0.0000 [1 per cell]
V: 0.0000 0.0000 0.5000 [3 per cell]
Tc: 0.5000 0.5000 0.5000 [1 per cell]


BaV3Tc | GGA-PBE | optimized geometry

Output
- polymorph energy (0 for the lowest one) (meV/atom) = 0
- energy (eV/cell) = -35.4
- calculated density (g/cm3) = 5.6
- total magnetization (μB per formula unit) = 6.28
- volume (A^3/atom) = 23.15

a b c (Å): 4.8732 4.8732 4.8732
angles (deg): 90.00 90.00 90.00
Space group Pm-3m (No. 221)
Inequivalent atoms, fractional coordinates:
Ba: 0.0000 0.0000 0.0000 [1 per cell]
V: 0.0000 0.5000 0.5000 [3 per cell]
Tc: 0.5000 0.5000 0.5000 [1 per cell]


Ba2VTc | GGA-PBE | optimized geometry

Output
- polymorph energy (0 for the lowest one) (meV/atom) = 434
- energy (eV/cell) = -72.9
- calculated density (g/cm3) = 5.7
- total magnetization (μB per formula unit) = 5.58
- volume (A^3/atom) = 30.61

a b c (Å): 7.8826 7.8826 7.8826
angles (deg): 90.00 90.00 90.00
Space group Fm-3m (No. 225)
Inequivalent atoms, fractional coordinates:
Ba: 0.2500 0.2500 0.2500 [8 per cell]
V: 0.0000 0.0000 0.0000 [4 per cell]
Tc: 0.0000 0.0000 0.5000 [4 per cell]